Material: NaNiIO2
Method: DFT, PBE with a Hubbard U
State: optimized geometry

Computed properties:
The calculated density is 4.21 Mg/m³. As for the symmetry: P4/mmm. The value obtained for the energy relative to the lowest polymorph listed for this composition is 0.0 meV/atom. The value obtained for the density of states at the Fermi level is 5.00 states/eV/cell. As for the total DFT energy (no corrections): -0.1222 hartree per atom.

Cell lengths 4.049, 4.049, 5.787 Å; angles 90.00, 90.00, 90.00 degrees
Site moments in Bohr magnetons follow the coordinates.
Positions (direct):
1 Ni 0.000 0.000 0.000  1.76
2 O 0.000 0.500 0.000  0.72
3 O 0.500 0.000 0.000  0.72
4 I 0.000 0.000 0.500  0.11
5 Na 0.500 0.500 0.500  0.00